(1)
A plane-wave DFT calculation with PBE was carried out for a geometry-optimized CuAgBr4 structure. Values from VASP.

```
&SYSTEM
  ibrav = 0, nat = 6, ntyp = 3
/
ATOMIC_SPECIES
Cu 63.55 Cu.upf
Ag 107.87 Ag.upf
Br 79.90 Br.upf
CELL_PARAMETERS angstrom
-6.147 -1.131 0.266
-3.774 2.152 -4.501
-2.626 -3.981 -4.049
ATOMIC_POSITIONS crystal
Cu 0.750 0.750 0.750
Ag 0.000 0.000 0.000
Br 0.874 0.375 0.375
Br 0.375 0.375 0.874
Br 0.375 0.874 0.375
Br 0.375 0.375 0.375
```

## Properties
- SG = F-43m (216)
- energy relative to the elements, uncorrected (eV/atom) = 0.816
- theoretical density (Mg/m³) = 4.71
- final energy (eV per atom) = -1.46



(2)
A plane-wave DFT calculation with PBE was carried out for a geometry-optimized Ta3Fe5 structure. Values from VASP.

```
&SYSTEM
  ibrav = 0, nat = 8, ntyp = 2
/
ATOMIC_SPECIES
Fe 55.84 Fe.upf
Ta 180.95 Ta.upf
CELL_PARAMETERS angstrom
5.209 0.001 0.000
1.722 4.917 0.000
0.000 0.000 4.265
ATOMIC_POSITIONS crystal
Fe 0.000 0.000 0.000
Fe 0.000 0.500 0.000
Fe 0.500 0.000 0.000
Fe 0.745 0.255 0.500
Fe 0.255 0.745 0.500
Ta 0.500 0.500 0.000
Ta 0.239 0.239 0.500
Ta 0.761 0.761 0.500
```

## Properties
- SG = Cmmm (65)
- theoretical density (Mg/m³) = 12.50
- formation enthalpy at 0 K (eV per atom) = -0.113
- final energy (eV per atom) = -9.85